Entry 1:
The following is a DFT calculation (PBE) of crystalline NiH2Cl5 at its relaxed geometry.

Properties
VASP energy in eV per atom: -3.122

Unit cell a=6.5613 b=7.1762 c=11.3970 alpha=110.10 beta=34.99 gamma=87.65
Closest atoms and distances in Å follow each position.
Element x y z (fractional)
1 Ni 0.9300 0.0231 0.9919  4 Cl 2.12-2.32
2 H 0.3805 0.8490 0.1056  1 Cl 1.34
3 H 0.6548 0.0182 0.5692  1 Cl 1.38
4 Cl 0.4566 0.2464 0.3957  1 Ni 2.12
5 Cl 0.2397 0.2240 0.8417  1 H 1.38
6 Cl 0.2197 0.7311 0.1983  1 H 1.34
7 Cl 0.4791 0.6647 0.7100  1 Ni 2.12
8 Cl 0.6396 0.0205 0.9646  1 H 2.01, 1 Ni 2.17


Entry 2:
The following is a DFT calculation (PBE) of crystalline HoTh2Cd at its relaxed geometry.

Properties
DFT formation energy in eV/atom: 0.011
Excess energy over the best structure of this formula in the dataset in eV per formula unit: 0.131

Unit cell a=3.4799 b=3.4799 c=9.9812 alpha=90.00 beta=90.00 gamma=90.00
Closest atoms and distances in Å follow each position.
Element x y z (fractional)
1 Ho 0.5000 0.5000 0.5000  4 Ho 3.48, 8 Th 3.59
2 Th 0.0000 0.0000 0.7622  4 Cd 3.42, 4 Th 3.48, 4 Ho 3.59
3 Th 0.0000 0.0000 0.2378  4 Cd 3.42, 4 Th 3.48, 4 Ho 3.59
4 Cd 0.5000 0.5000 0.0000  8 Th 3.42, 4 Cd 3.48


Entry 3:
The following is a DFT calculation (PBE) of crystalline MnRh4Se at its relaxed geometry.

Properties
VASP energy in eV per atom: -6.639

Unit cell a=5.1589 b=5.1589 c=5.1589 alpha=60.00 beta=60.00 gamma=60.00
Closest atoms and distances in Å follow each position.
Element x y z (fractional)
1 Mn 0.0000 0.0000 0.0000  12 Rh 3.02, 4 Se 3.16
2 Rh 0.8750 0.3750 0.3750  6 Rh 2.58
3 Rh 0.3750 0.3750 0.8750  6 Rh 2.58
4 Rh 0.3750 0.8750 0.3750  6 Rh 2.58
5 Rh 0.3750 0.3750 0.3750  6 Rh 2.58
6 Se 0.7500 0.7500 0.7500  12 Rh 3.02, 4 Mn 3.16


Entry 4:
The following is a DFT calculation (PBE) of crystalline Ba2Na2NpO6 at its relaxed geometry.

Properties
VASP energy in eV per atom: -6.952

Unit cell a=6.5809 b=6.5809 c=5.9956 alpha=96.28 beta=96.28 gamma=119.14
Closest atoms and distances in Å follow each position.
Element x y z (fractional)
1 Ba 0.3370 0.6630 0.5000  6 O 2.68-2.77
2 Ba 0.6630 0.3370 0.5000  6 O 2.68-2.77
3 Na 0.8734 0.1266 0.0000  4 O 2.36-2.45
4 Na 0.1266 0.8734 0.0000  4 O 2.36-2.45
5 Np 0.0000 0.0000 0.5000  6 O 2.07-2.11
6 O 0.7905 0.7905 0.7097  1 Np 2.07
7 O 0.0300 0.3045 0.6922  1 Np 2.11, 1 Na 2.36
8 O 0.2095 0.2095 0.2903  1 Np 2.07
9 O 0.3045 0.0300 0.6922  1 Np 2.11, 1 Na 2.36
10 O 0.9700 0.6955 0.3078  1 Np 2.11, 1 Na 2.36
11 O 0.6955 0.9700 0.3078  1 Np 2.11, 1 Na 2.36


Number 1: spin magnetization 3.02 μB/f.u., V 231.4 Å³/cell. Number 2: spin magnetization 0.00 μB/f.u., V 120.9 Å³/cell. Number 3: spin magnetization 4.66 μB/f.u., V 97.1 Å³/cell. Number 4: spin magnetization 1.00 μB/f.u., V 221.4 Å³/cell.